P:
## Ba2AgPb3 (GGA-PBE)

Data for a relaxed Ba2AgPb3 crystal.

a b c (Å): 12.3649 5.4186 8.5239
angles (deg): 90.00 133.32 90.00
Closest atoms and distances in Å follow each position.
Fractional positions:
1 Ba 0.0000 0.0000 0.0000  9 Pb 3.68-4.01, 3 Ag 3.72-3.95
2 Ba 0.0959 0.0000 0.5961  9 Pb 3.62-4.04, 3 Ag 3.65-3.74
3 Ba 0.5000 0.5000 0.0000  9 Pb 3.68-4.01, 3 Ag 3.72-3.95
4 Ba 0.5959 0.5000 0.5961  9 Pb 3.62-4.04, 3 Ag 3.65-3.74
5 Ag 0.3736 0.0000 0.1848  4 Pb 2.99-3.10
6 Ag 0.8736 0.5000 0.1848  4 Pb 2.99-3.10
7 Pb 0.1925 0.5000 0.4034  1 Ag 2.99, 3 Pb 3.23-3.33
8 Pb 0.2206 0.5000 0.0421  2 Ag 3.04, 2 Pb 3.27-3.33
9 Pb 0.3857 0.0000 0.5605  1 Ag 3.10, 3 Pb 3.23-3.27
10 Pb 0.6925 0.0000 0.4034  1 Ag 2.99, 3 Pb 3.23-3.33
11 Pb 0.7206 0.0000 0.0421  2 Ag 3.04, 2 Pb 3.27-3.33
12 Pb 0.8857 0.5000 0.5605  1 Ag 3.10, 3 Pb 3.23-3.27

## Properties
Its space-group type is Cm (8). As for the crystal system: monoclinic.

***

Q:
## Ba2AgPb3 (GGA-PBE)

Data for a relaxed Ba2AgPb3 crystal.

a b c (Å): 10.1305 10.0927 7.1255
angles (deg): 69.65 69.09 41.26
Closest atoms and distances in Å follow each position.
Fractional positions:
1 Ba 0.2437 0.7563 0.7563  10 Pb 3.85-3.89, 2 Ag 3.89
2 Ba 0.2500 0.2500 0.2500  8 Pb 3.82, 4 Ag 3.85
3 Ba 0.7500 0.7500 0.7500  8 Pb 3.82, 4 Ag 3.85
4 Ba 0.7563 0.2437 0.2437  10 Pb 3.85-3.89, 2 Ag 3.89
5 Ag 0.3328 0.3328 0.6672  3 Pb 2.83
6 Ag 0.6672 0.6672 0.3328  3 Pb 2.83
7 Pb 0.1716 0.1716 0.8284  1 Ag 2.83, 2 Pb 3.04
8 Pb 0.1738 0.6548 0.3452  1 Ag 2.83, 2 Pb 3.01-3.04
9 Pb 0.3452 0.8262 0.1738  1 Ag 2.83, 2 Pb 3.01-3.04
10 Pb 0.6548 0.1738 0.8262  1 Ag 2.83, 2 Pb 3.01-3.04
11 Pb 0.8262 0.3452 0.6548  1 Ag 2.83, 2 Pb 3.01-3.04
12 Pb 0.8284 0.8284 0.1716  1 Ag 2.83, 2 Pb 3.04

## Properties
Its space-group type is Fmmm (69). As for the crystal system: orthorhombic.

***

Which of them is least stable? Easy: Q.

***

P:
## BaAg2Pd (GGA-PBE)

Data for a relaxed BaAg2Pd crystal.

a b c (Å): 7.3617 7.3617 7.3617
angles (deg): 90.00 90.00 90.00
Closest atoms and distances in Å follow each position.
Fractional positions:
1 Ba 0.0000 0.0000 0.0000  8 Ag 3.19
2 Ba 0.0000 0.5000 0.5000  8 Ag 3.19
3 Ba 0.5000 0.0000 0.5000  8 Ag 3.19
4 Ba 0.5000 0.5000 0.0000  8 Ag 3.19
5 Ag 0.2500 0.2500 0.2500  4 Ba 3.19, 4 Pd 3.19
6 Ag 0.2500 0.2500 0.7500  4 Ba 3.19, 4 Pd 3.19
7 Ag 0.2500 0.7500 0.2500  4 Ba 3.19, 4 Pd 3.19
8 Ag 0.2500 0.7500 0.7500  4 Ba 3.19, 4 Pd 3.19
9 Ag 0.7500 0.2500 0.2500  4 Ba 3.19, 4 Pd 3.19
10 Ag 0.7500 0.2500 0.7500  4 Ba 3.19, 4 Pd 3.19
11 Ag 0.7500 0.7500 0.2500  4 Ba 3.19, 4 Pd 3.19
12 Ag 0.7500 0.7500 0.7500  4 Ba 3.19, 4 Pd 3.19
13 Pd 0.0000 0.0000 0.5000  8 Ag 3.19
14 Pd 0.0000 0.5000 0.0000  8 Ag 3.19
15 Pd 0.5000 0.0000 0.0000  8 Ag 3.19
16 Pd 0.5000 0.5000 0.5000  8 Ag 3.19

## Properties
Its space-group type is Fm-3m (225). As for the crystal system: cubic.

***

Q:
## BaAg2Pd (GGA-PBE)

Data for a relaxed BaAg2Pd crystal.

a b c (Å): 4.5917 11.1391 7.9882
angles (deg): 90.00 90.00 90.00
Closest atoms and distances in Å follow each position.
Fractional positions:
1 Ba 0.0000 0.0590 0.2500  3 Pd 3.13-3.35, 2 Ag 3.41
2 Ba 0.0000 0.9410 0.7500  3 Pd 3.13-3.35, 2 Ag 3.41
3 Ba 0.5000 0.4410 0.7500  3 Pd 3.13-3.35, 2 Ag 3.41
4 Ba 0.5000 0.5590 0.2500  3 Pd 3.13-3.35, 2 Ag 3.41
5 Ag 0.0000 0.3340 0.0625  3 Pd 2.79-2.81, 3 Ag 2.99-3.13
6 Ag 0.0000 0.3340 0.4375  3 Pd 2.79-2.81, 3 Ag 2.99-3.13
7 Ag 0.0000 0.6660 0.5625  3 Pd 2.79-2.81, 3 Ag 2.99-3.13
8 Ag 0.0000 0.6660 0.9375  3 Pd 2.79-2.81, 3 Ag 2.99-3.13
9 Ag 0.5000 0.1660 0.5625  3 Pd 2.79-2.81, 3 Ag 2.99-3.13
10 Ag 0.5000 0.1660 0.9375  3 Pd 2.79-2.81, 3 Ag 2.99-3.13
11 Ag 0.5000 0.8340 0.0625  3 Pd 2.79-2.81, 3 Ag 2.99-3.13
12 Ag 0.5000 0.8340 0.4375  3 Pd 2.79-2.81, 3 Ag 2.99-3.13
13 Pd 0.0000 0.2217 0.7500  6 Ag 2.79-2.81, 1 Ba 3.13
14 Pd 0.0000 0.7783 0.2500  6 Ag 2.79-2.81, 1 Ba 3.13
15 Pd 0.5000 0.2783 0.2500  6 Ag 2.79-2.81, 1 Ba 3.13
16 Pd 0.5000 0.7217 0.7500  6 Ag 2.79-2.81, 1 Ba 3.13

## Properties
Its space-group type is Cmcm (63). As for the crystal system: orthorhombic.

***

R:
## BaAg2Pd (GGA-PBE)

Data for a relaxed BaAg2Pd crystal.

a b c (Å): 4.7416 4.7416 16.5313
angles (deg): 90.00 90.00 120.00
Closest atoms and distances in Å follow each position.
Fractional positions:
1 Ba 0.0000 0.0000 0.0000  8 Ag 3.27-3.54
2 Ba 0.3333 0.6667 0.6667  8 Ag 3.27-3.54
3 Ba 0.6667 0.3333 0.3333  8 Ag 3.27-3.54
4 Ag 0.0000 0.0000 0.1975  3 Pd 2.78, 3 Ag 2.92
5 Ag 0.0000 0.0000 0.8025  3 Pd 2.78, 3 Ag 2.92
6 Ag 0.3333 0.6667 0.4692  3 Pd 2.78, 3 Ag 2.92
7 Ag 0.3333 0.6667 0.8642  3 Pd 2.78, 3 Ag 2.92
8 Ag 0.6667 0.3333 0.1358  3 Pd 2.78, 3 Ag 2.92
9 Ag 0.6667 0.3333 0.5308  3 Pd 2.78, 3 Ag 2.92
10 Pd 0.0000 0.0000 0.5000  6 Ag 2.78
11 Pd 0.3333 0.6667 0.1667  6 Ag 2.78
12 Pd 0.6667 0.3333 0.8333  6 Ag 2.78

## Properties
Its space-group type is R-3m (166). As for the crystal system: trigonal.

***

S:
## BaAg2Pd (GGA-PBE)

Data for a relaxed BaAg2Pd crystal.

a b c (Å): 16.8383 7.9249 6.0282
angles (deg): 90.00 90.00 90.00
Closest atoms and distances in Å follow each position.
Fractional positions:
1 Ba 0.1075 0.2500 0.2457  2 Pd 3.12-3.30, 2 Ag 3.36
2 Ba 0.1394 0.7500 0.0340  3 Pd 3.15-3.33, 4 Ag 3.47-3.52
3 Ba 0.3606 0.2500 0.5340  3 Pd 3.15-3.33, 4 Ag 3.47-3.52
4 Ba 0.3925 0.7500 0.7457  2 Pd 3.12-3.30, 2 Ag 3.36
5 Ba 0.6075 0.2500 0.2543  2 Pd 3.12-3.30, 2 Ag 3.36
6 Ba 0.6394 0.7500 0.4660  3 Pd 3.15-3.33, 4 Ag 3.47-3.52
7 Ba 0.8606 0.2500 0.9660  3 Pd 3.15-3.33, 4 Ag 3.47-3.52
8 Ba 0.8925 0.7500 0.7543  2 Pd 3.12-3.30, 2 Ag 3.36
9 Ag 0.0457 0.0648 0.7164  3 Pd 2.80-2.85, 2 Ag 2.94-3.09
10 Ag 0.0457 0.4352 0.7164  3 Pd 2.80-2.85, 2 Ag 2.94-3.09
11 Ag 0.2096 0.5582 0.5544  3 Pd 2.82, 2 Ag 3.04-3.09
12 Ag 0.2096 0.9418 0.5544  3 Pd 2.82, 2 Ag 3.04-3.09
13 Ag 0.2904 0.0582 0.0544  3 Pd 2.82, 2 Ag 3.04-3.09
14 Ag 0.2904 0.4418 0.0544  3 Pd 2.82, 2 Ag 3.04-3.09
15 Ag 0.4543 0.5648 0.2164  3 Pd 2.80-2.85, 2 Ag 2.94-3.09
16 Ag 0.4543 0.9352 0.2164  3 Pd 2.80-2.85, 2 Ag 2.94-3.09
17 Ag 0.5457 0.0648 0.7836  3 Pd 2.80-2.85, 2 Ag 2.94-3.09
18 Ag 0.5457 0.4352 0.7836  3 Pd 2.80-2.85, 2 Ag 2.94-3.09
19 Ag 0.7096 0.5582 0.9456  3 Pd 2.82, 2 Ag 3.04-3.09
20 Ag 0.7096 0.9418 0.9456  3 Pd 2.82, 2 Ag 3.04-3.09
21 Ag 0.7904 0.0582 0.4456  3 Pd 2.82, 2 Ag 3.04-3.09
22 Ag 0.7904 0.4418 0.4456  3 Pd 2.82, 2 Ag 3.04-3.09
23 Ag 0.9543 0.5648 0.2836  3 Pd 2.80-2.85, 2 Ag 2.94-3.09
24 Ag 0.9543 0.9352 0.2836  3 Pd 2.80-2.85, 2 Ag 2.94-3.09
25 Pd 0.0690 0.7500 0.5173  6 Ag 2.80-2.82
26 Pd 0.1891 0.2500 0.7815  6 Ag 2.82-2.85, 1 Ba 3.12
27 Pd 0.3109 0.7500 0.2815  6 Ag 2.82-2.85, 1 Ba 3.12
28 Pd 0.4310 0.2500 0.0173  6 Ag 2.80-2.82
29 Pd 0.5690 0.7500 0.9827  6 Ag 2.80-2.82
30 Pd 0.6891 0.2500 0.7185  6 Ag 2.82-2.85, 1 Ba 3.12
31 Pd 0.8109 0.7500 0.2185  6 Ag 2.82-2.85, 1 Ba 3.12
32 Pd 0.9310 0.2500 0.4827  6 Ag 2.80-2.82

## Properties
Its space-group type is Pnma (62). As for the crystal system: orthorhombic.

***

Which of them is least stable? Easy: P.

***

P:
## Ba2AgPd (GGA-PBE)

Data for a relaxed Ba2AgPd crystal.

a b c (Å): 6.6104 4.8607 9.1290
angles (deg): 90.00 110.65 90.00
Closest atoms and distances in Å follow each position.
Fractional positions:
1 Ba 0.2207 0.2500 0.4364  3 Ag 3.40-3.47, 4 Pd 3.41-3.64
2 Ba 0.2306 0.2500 0.9253  4 Ag 3.39-3.65, 3 Pd 3.40-3.41
3 Ba 0.7694 0.7500 0.0747  4 Ag 3.39-3.65, 3 Pd 3.40-3.41
4 Ba 0.7793 0.7500 0.5636  3 Ag 3.40-3.47, 4 Pd 3.41-3.64
5 Ag 0.3588 0.7500 0.2163  2 Pd 2.96
6 Ag 0.6412 0.2500 0.7837  2 Pd 2.96
7 Pd 0.3677 0.7500 0.7162  2 Ag 2.96
8 Pd 0.6323 0.2500 0.2838  2 Ag 2.96

## Properties
Its space-group type is P2_1/m (11). As for the crystal system: monoclinic.

***

Q:
## Ba2AgPd (GGA-PBE)

Data for a relaxed Ba2AgPd crystal.

a b c (Å): 8.6382 8.6382 8.1345
angles (deg): 90.00 90.00 90.00
Closest atoms and distances in Å follow each position.
Fractional positions:
1 Ba 0.2259 0.2500 0.1250  2 Pd 3.08, 2 Ag 3.36
2 Ba 0.2500 0.7259 0.3750  2 Pd 3.08, 2 Ag 3.36
3 Ba 0.2500 0.7741 0.8750  2 Pd 3.08, 2 Ag 3.36
4 Ba 0.2741 0.2500 0.6250  2 Pd 3.08, 2 Ag 3.36
5 Ba 0.7259 0.7500 0.6250  2 Pd 3.08, 2 Ag 3.36
6 Ba 0.7500 0.2259 0.8750  2 Pd 3.08, 2 Ag 3.36
7 Ba 0.7500 0.2741 0.3750  2 Pd 3.08, 2 Ag 3.36
8 Ba 0.7741 0.7500 0.1250  2 Pd 3.08, 2 Ag 3.36
9 Ag 0.0000 0.0000 0.5000  4 Ba 3.36
10 Ag 0.0000 0.5000 0.7500  4 Ba 3.36
11 Ag 0.5000 0.0000 0.2500  4 Ba 3.36
12 Ag 0.5000 0.5000 0.0000  4 Ba 3.36
13 Pd 0.0000 0.0000 0.0000  4 Ba 3.08
14 Pd 0.0000 0.5000 0.2500  4 Ba 3.08
15 Pd 0.5000 0.0000 0.7500  4 Ba 3.08
16 Pd 0.5000 0.5000 0.5000  4 Ba 3.08

## Properties
Its space-group type is I-42d (122). As for the crystal system: tetragonal.

***

Which of them is least stable? Easy: Q.